No. 1
The following is a PBE calculation of Co2OsW2 after structural relaxation, from the Alexandria database.

Results
Space-group type: P4/mbm
ΔH_f (0 K) (meV/atom): 91
Calculated density (g/cm³): 16.70
Magnetization (μB/f.u.): 0.0

a b c (Å): 6.682 6.682 3.010
angles (deg): 90.00 90.00 90.00
Atoms (fractional coordinates):
Co 0.124 0.376 0.000
Co 0.376 0.876 0.000
Co 0.624 0.124 0.000
Co 0.876 0.624 0.000
Os 0.000 0.000 0.000
Os 0.500 0.500 0.000
W 0.177 0.677 0.500
W 0.323 0.177 0.500
W 0.677 0.823 0.500
W 0.823 0.323 0.500

---

No. 2
The following is a PBE calculation of CoOsW3 after structural relaxation, from the Alexandria database.

Results
Space-group type: Pm-3m
ΔH_f (0 K) (meV/atom): 2301
Calculated density (g/cm³): 12.78
Magnetization (μB/f.u.): 0.0

a b c (Å): 4.703 4.703 4.703
angles (deg): 90.00 90.00 90.00
Atoms (fractional coordinates):
Co 0.000 0.000 0.000
Os 0.500 0.500 0.500
W 0.000 0.500 0.500
W 0.500 0.000 0.500
W 0.500 0.500 0.000

---

No. 3
The following is a PBE calculation of Co2OsW after structural relaxation, from the Alexandria database.

Results
Space-group type: P4/mmm
ΔH_f (0 K) (meV/atom): 155
Calculated density (g/cm³): 15.85
Magnetization (μB/f.u.): 1.1

a b c (Å): 2.637 2.637 7.410
angles (deg): 90.00 90.00 90.00
Atoms (fractional coordinates):
Co 0.000 0.000 0.241
Co 0.000 0.000 0.759
Os 0.500 0.500 0.000
W 0.500 0.500 0.500

---

No. 4
The following is a PBE calculation of YCoOs2 after structural relaxation, from the Alexandria database.

Results
Space-group type: Pmmm
ΔH_f (0 K) (meV/atom): 348
Calculated density (g/cm³): 13.63
Magnetization (μB/f.u.): 1.8

a b c (Å): 3.044 4.539 4.657
angles (deg): 90.00 90.00 90.00
Atoms (fractional coordinates):
Y 0.000 0.000 0.000
Co 0.500 0.500 0.000
Os 0.000 0.500 0.500
Os 0.500 0.000 0.500

---

No. 5
The following is a PBE calculation of YCoOs2 after structural relaxation, from the Alexandria database.

Results
Space-group type: Cm
ΔH_f (0 K) (meV/atom): 262
Calculated density (g/cm³): 12.94
Magnetization (μB/f.u.): 0.6

a b c (Å): 4.762 4.762 5.159
angles (deg): 102.09 102.09 36.43
Atoms (fractional coordinates):
Y 0.000 0.000 0.000
Co 0.236 0.236 0.728
Os 0.501 0.501 0.497
Os 0.763 0.763 0.366

---

No. 6
The following is a PBE calculation of Y2Co2Os after structural relaxation, from the Alexandria database.

Results
Space-group type: C2/c
ΔH_f (0 K) (meV/atom): -200
Calculated density (g/cm³): 8.74
Magnetization (μB/f.u.): 0.2

a b c (Å): 5.248 5.248 7.782
angles (deg): 100.77 100.77 61.98
Atoms (fractional coordinates):
Y 0.034 0.270 0.154
Y 0.270 0.034 0.654
Y 0.730 0.966 0.346
Y 0.966 0.730 0.846
Co 0.261 0.499 0.498
Co 0.499 0.261 0.998
Co 0.501 0.739 0.002
Co 0.739 0.501 0.502
Os 0.378 0.622 0.250
Os 0.622 0.378 0.750